The following is a DFT calculation (GGA-PBE) of a geometry-optimized Ac2GaPd4 structure.

Lattice parameters (Å, degrees): 5.133 4.133 7.682 90.00 93.12 90.00
Space group P2/m (No. 10)
Symmetry-distinct sites (fractional):
Ac: 0.239 0.000 0.319
Ga: 0.500 0.500 0.000
Pd: 0.244 0.000 0.910
Pd: 0.268 0.500 0.645

## Properties
Energy (eV per atom): -5.232
Magnetic moment (μB per cell): 0.0